Entry from the Open Quantum Materials Database: crystalline HfSi4Ir3 at its relaxed geometry (PBE-GGA).

Cell: 5.1244 3.7615 6.5453 Å, 90.00 101.73 90.00°
Positions (direct):
Hf 0.2892 0.0000 0.7818
Ir 0.6258 0.5000 0.1480
Ir 0.1293 0.0000 0.3083
Ir 0.7918 0.5000 0.7460
Si 0.1534 0.5000 0.0643
Si 0.4092 0.5000 0.4602
Si 0.8034 0.0000 0.5056
Si 0.7980 0.0000 0.9858

Computed properties:
energy relative to the lowest polymorph listed for this composition	0	meV per atom
space-group type	No. 6


Entry from the Open Quantum Materials Database: crystalline Y3Mg3CuHgPd at its relaxed geometry (PBE-GGA).

Cell: 7.6260 7.6260 4.0298 Å, 90.00 90.00 120.00°
Positions (direct):
Cu 0.0000 0.0000 0.5000
Hg 0.3333 0.6667 0.0000
Mg 0.2401 0.0004 0.0000
Mg 0.9996 0.2397 0.0000
Mg 0.7603 0.7599 0.0000
Pd 0.6667 0.3333 0.0000
Y 0.5999 0.0178 0.5000
Y 0.4179 0.4001 0.5000
Y 0.9822 0.5821 0.5000

Computed properties:
total DFT energy (no corrections)	-4.143	eV per atom
space-group type	No. 174


Please write out number 2 again, unchanged.
Entry from the Open Quantum Materials Database: crystalline Y3Mg3CuHgPd at its relaxed geometry (PBE-GGA).

Cell: 7.6260 7.6260 4.0298 Å, 90.00 90.00 120.00°
Positions (direct):
Cu 0.0000 0.0000 0.5000
Hg 0.3333 0.6667 0.0000
Mg 0.2401 0.0004 0.0000
Mg 0.9996 0.2397 0.0000
Mg 0.7603 0.7599 0.0000
Pd 0.6667 0.3333 0.0000
Y 0.5999 0.0178 0.5000
Y 0.4179 0.4001 0.5000
Y 0.9822 0.5821 0.5000

Computed properties:
total DFT energy (no corrections)	-4.143	eV per atom
space-group type	No. 174